No. 1
DFT (PBE) results for an optimized crystal structure of Hg3POs.

Results
- Excess energy over the best structure of this formula in the dataset: 0.000 eV per atom
- ΔH_f (0 K): 1.276 eV/atom
- Final energy: -2.23 eV/atom
- Symmetry: Pm-3m (221)
- V: 29.205 Å³ per atom

a = 5.2659 Å, b = 5.2659 Å, c = 5.2659 Å
α = 90.00°, β = 90.00°, γ = 90.00°
Site moments in Bohr magnetons follow the coordinates.
Positions (direct):
P: 0.5000 0.5000 0.5000  0.84
Os: 0.0000 0.0000 0.0000  1.32
Hg: 0.0000 0.5000 0.0000  0.03
Hg: 0.0000 0.0000 0.5000  0.05
Hg: 0.5000 0.0000 0.0000  0.03

No. 2
DFT (PBE) results for an optimized crystal structure of HgPOs4.

Results
- ΔH_f (0 K): 1.157 eV/atom
- Final energy: -7.28 eV/atom
- Symmetry: F-43m (216)
- V: 16.835 Å³ per atom

a = 5.2275 Å, b = 5.2275 Å, c = 5.2275 Å
α = 60.00°, β = 60.00°, γ = 60.00°
Site moments in Bohr magnetons follow the coordinates.
Positions (direct):
Hg: 0.0000 0.0000 0.0000  0.00
P: 0.7500 0.7500 0.7500  -0.02
Os: 0.8734 0.3755 0.3755  0.23
Os: 0.3755 0.3755 0.8734  0.23
Os: 0.3755 0.8734 0.3755  0.23
Os: 0.3755 0.3755 0.3755  0.23

No. 3
DFT (PBE) results for an optimized crystal structure of HgSbPOs2.

Results
- Final energy: -4.04 eV/atom
- Formation energy without anion corrections: 2.415 eV/atom
- Symmetry: P4/mmm (123)
- V: 23.294 Å³ per atom

a = 5.0401 Å, b = 4.5850 Å, c = 5.0401 Å
α = 90.00°, β = 90.00°, γ = 90.00°
Positions (direct):
Sb: 0.5000 0.5000 0.5000
Os: 0.0000 0.0000 0.5000
Os: 0.5000 0.0000 0.0000
Hg: 0.0000 0.0000 0.0000
P: 0.0000 0.5000 0.0000

No. 4
DFT (PBE) results for an optimized crystal structure of TcHg2POs.

Results
- ΔH_f (0 K): 1.541 eV/atom
- Final energy: -3.98 eV/atom
- Symmetry: P4/mmm (123)
- V: 25.589 Å³ per atom

a = 5.2277 Å, b = 4.6817 Å, c = 5.2277 Å
α = 90.00°, β = 90.00°, γ = 90.00°
Site moments in Bohr magnetons follow the coordinates.
Positions (direct):
P: 0.5000 0.5000 0.5000  -0.56
Os: 0.0000 0.0000 0.0000  -0.17
Hg: 0.0000 0.0000 0.5000  0.00
Hg: 0.5000 0.0000 0.0000  -0.01
Tc: 0.0000 0.5000 0.0000  1.86

No. 5
DFT (PBE) results for an optimized crystal structure of TiHgP2Os.

Results
- ΔH_f (0 K): 0.428 eV/atom
- Final energy: -5.62 eV/atom
- Symmetry: P4/mmm (123)
- V: 21.151 Å³ per atom

a = 4.5072 Å, b = 4.5072 Å, c = 5.2058 Å
α = 90.00°, β = 90.00°, γ = 90.00°
Site moments in Bohr magnetons follow the coordinates.
Positions (direct):
P: 0.0000 0.5000 0.0000  -0.02
P: 0.5000 0.0000 0.0000  -0.02
Os: 0.0000 0.0000 0.0000  0.00
Hg: 0.5000 0.5000 0.5000  0.02
Ti: 0.0000 0.0000 0.5000  1.11

No. 6
DFT (PBE) results for an optimized crystal structure of HgPOs2W.

Results
- ΔH_f (0 K): 3.425 eV/atom
- Final energy: -4.80 eV/atom
- Symmetry: P4/mmm (123)
- V: 23.724 Å³ per atom

a = 4.8908 Å, b = 4.9590 Å, c = 4.8908 Å
α = 90.00°, β = 90.00°, γ = 90.00°
Site moments in Bohr magnetons follow the coordinates.
Positions (direct):
P: 0.5000 0.5000 0.5000  -0.12
Os: 0.0000 0.0000 0.5000  0.17
Os: 0.5000 0.0000 0.0000  0.23
Hg: 0.0000 0.0000 0.0000  0.04
W: 0.0000 0.5000 0.0000  1.75

No. 7
DFT (PBE) results for an optimized crystal structure of Y2HgPOs.

Results
- ΔH_f (0 K): -0.359 eV/atom
- Final energy: -6.33 eV/atom
- Symmetry: P4/mmm (123)
- V: 24.326 Å³ per atom

a = 5.3144 Å, b = 4.3066 Å, c = 5.3144 Å
α = 90.00°, β = 90.00°, γ = 90.00°
Positions (direct):
Y: 0.0000 0.0000 0.5000
Y: 0.5000 0.0000 0.0000
P: 0.0000 0.0000 0.0000
Os: 0.0000 0.5000 0.0000
Hg: 0.5000 0.5000 0.5000

No. 8
DFT (PBE) results for an optimized crystal structure of ZnHgP2Os.

Results
- ΔH_f (0 K): 1.405 eV/atom
- Final energy: -3.32 eV/atom
- Symmetry: P4/mmm (123)
- V: 19.374 Å³ per atom

a = 4.4722 Å, b = 4.8433 Å, c = 4.4722 Å
α = 90.00°, β = 90.00°, γ = 90.00°
Positions (direct):
P: 0.0000 0.0000 0.5000
P: 0.5000 0.0000 0.0000
Zn: 0.0000 0.0000 0.0000
Os: 0.0000 0.5000 0.0000
Hg: 0.5000 0.5000 0.5000

No. 9
DFT (PBE) results for an optimized crystal structure of PaHgOs.

Results
- ΔH_f (0 K): 0.161 eV/atom
- Final energy: -6.85 eV/atom
- Symmetry: R-3m (166)
- V: 24.461 Å³ per atom

a = 3.7149 Å, b = 3.7149 Å, c = 12.4659 Å
α = 81.43°, β = 81.43°, γ = 60.00°
Positions (direct):
Os: 0.3109 0.3109 0.0674
Os: 0.6891 0.6891 0.9326
Hg: 0.1968 0.1968 0.4096
Hg: 0.8032 0.8032 0.5904
Pa: 0.3997 0.3997 0.8008
Pa: 0.6003 0.6003 0.1992

No. 10
DFT (PBE) results for an optimized crystal structure of TmPaHgOs.

Results
- ΔH_f (0 K): -0.086 eV/atom
- Final energy: -6.46 eV/atom
- Symmetry: F-43m (216)
- V: 22.279 Å³ per atom

a = 5.0137 Å, b = 5.0137 Å, c = 5.0137 Å
α = 60.00°, β = 60.00°, γ = 60.00°
Positions (direct):
Tm: 0.2500 0.2500 0.2500
Pa: 0.7500 0.7500 0.7500
Os: 0.0000 0.0000 0.0000
Hg: 0.5000 0.5000 0.5000

No. 11
DFT (PBE) results for an optimized crystal structure of HgOs3Pb.

Results
- Excess energy over the best structure of this formula in the dataset: 0.000 eV per atom
- ΔH_f (0 K): 2.879 eV/atom
- Final energy: -4.66 eV/atom
- Symmetry: Pm-3m (221)
- V: 25.198 Å³ per atom

a = 5.0131 Å, b = 5.0131 Å, c = 5.0131 Å
α = 90.00°, β = 90.00°, γ = 90.00°
Site moments in Bohr magnetons follow the coordinates.
Positions (direct):
Pb: 0.5000 0.5000 0.5000  -0.06
Os: 0.0000 0.5000 0.0000  1.95
Os: 0.0000 0.0000 0.5000  2.33
Os: 0.5000 0.0000 0.0000  1.55
Hg: 0.0000 0.0000 0.0000  0.02

No. 12
DFT (PBE) results for an optimized crystal structure of ReHgOs2Pb.

Results
- ΔH_f (0 K): 2.914 eV/atom
- Final energy: -4.87 eV/atom
- Symmetry: P4/mmm (123)
- V: 24.602 Å³ per atom

a = 4.9716 Å, b = 4.9767 Å, c = 4.9716 Å
α = 90.00°, β = 90.00°, γ = 90.00°
Site moments in Bohr magnetons follow the coordinates.
Positions (direct):
Pb: 0.5000 0.5000 0.5000  -0.05
Re: 0.0000 0.5000 0.0000  2.18
Os: 0.0000 0.0000 0.5000  1.03
Os: 0.5000 0.0000 0.0000  0.72
Hg: 0.0000 0.0000 0.0000  0.02